1.
Computed, not measured: NaDySn after structural relaxation at the GGA-PBE level of DFT.

The structure in extended XYZ format:
```
3
Lattice="-1.144 2.891 -1.569 -4.513 -0.467 2.430 3.821 2.686 2.162" Properties=species:S:1:pos:R:3 pbc="T T T"
Dy 0.653 2.622 1.716
Na -1.024 2.588 -1.404
Sn -2.609 2.791 1.143
```

Values from the calculation:
Calculated total energy = -3.57 eV per atom
ΔH_f (0 K) = -0.8 eV/f.u.
M_tot = 0.00 μB per atom
Symmetry = P3m1, No. 156
Density of states at the Fermi level = 0.3699 states/eV/atom



2.
Computed, not measured: NaDySn after structural relaxation at the GGA-PBE level of DFT.

The structure in extended XYZ format:
```
6
Lattice="5.135 0.000 0.000 2.568 4.447 0.000 2.568 1.482 8.884" Properties=species:S:1:pos:R:3 pbc="T T T"
Na 7.703 4.447 3.427
Na 2.568 1.482 5.456
Dy 7.703 4.447 7.731
Dy 2.568 1.482 1.153
Sn 5.135 2.965 2.049
Sn 5.135 2.965 6.835
```

Values from the calculation:
Calculated total energy = -3.54 eV per atom
ΔH_f (0 K) = -0.7 eV/f.u.
M_tot = 0.00 μB per atom
Symmetry = R-3m, No. 166
Density of states at the Fermi level = 0.3306 states/eV/atom



3.
Computed, not measured: NaDySn after structural relaxation at the GGA-PBE level of DFT.

The structure in extended XYZ format:
```
3
Lattice="3.435 0.000 0.000 0.000 3.435 0.000 -1.718 -1.718 7.420" Properties=species:S:1:pos:R:3 pbc="T T T"
Na 1.718 1.718 1.494
Dy 0.000 0.000 4.501
Sn 1.718 1.718 6.618
```

Values from the calculation:
Calculated total energy = -3.49 eV per atom
ΔH_f (0 K) = -0.5 eV/f.u.
M_tot = 0.00 μB per atom
Symmetry = I4mm, No. 107
Density of states at the Fermi level = 0.5360 states/eV/atom



4.
Computed, not measured: NaDy2SnTe4 after structural relaxation at the GGA-PBE level of DFT.

The structure in extended XYZ format:
```
8
Lattice="-4.997 -1.657 -3.377 -1.803 -3.873 4.569 0.070 7.430 2.043" Properties=species:S:1:pos:R:3 pbc="T T T"
Te -0.914 -1.918 2.294
Na -3.400 -2.765 0.596
Dy -2.567 0.396 3.604
Te -5.089 -0.399 1.934
Sn -4.164 1.504 -0.369
Te -4.219 2.710 4.913
Dy -1.733 3.557 6.612
Te -1.641 2.298 1.300
```

Values from the calculation:
Calculated total energy = -4.38 eV per atom
M_tot = 0.00 μB per atom
Symmetry = I-4m2, No. 119
Formation energy without anion corrections = -0.994 eV/atom
Density of states at the Fermi level = 0.4792 states/eV/atom



5.
Computed, not measured: Na2DySn3Te6 after structural relaxation at the GGA-PBE level of DFT.

The structure in extended XYZ format:
```
12
Lattice="7.751 0.000 0.001 -3.873 6.714 0.001 -1.293 -2.239 7.441" Properties=species:S:1:pos:R:3 pbc="T T T"
Sn 5.206 -0.023 3.721
Te 2.471 0.009 1.844
Sn -2.622 4.498 3.721
Te 0.113 4.466 5.599
Dy 0.000 0.000 0.000
Na 3.885 2.233 0.001
Na -0.008 4.481 0.001
Sn 1.292 2.237 3.721
Te 2.635 4.563 1.903
Te -0.051 -0.088 5.539
Te -1.228 2.145 1.844
Te 3.812 2.330 5.599
```

Values from the calculation:
Calculated total energy = -3.84 eV per atom
M_tot = 0.00 μB per atom
Symmetry = C2/m, No. 12
Formation energy without anion corrections = -0.668 eV/atom
Density of states at the Fermi level = 0.3940 states/eV/atom



6.
Computed, not measured: Na4Dy3SnTe8 after structural relaxation at the GGA-PBE level of DFT.

The structure in extended XYZ format:
```
16
Lattice="-5.678 6.530 -1.947 -6.176 -3.696 5.617 8.072 1.929 3.134" Properties=species:S:1:pos:R:3 pbc="T T T"
Te -3.017 0.699 1.060
Te -0.766 4.064 5.745
Na -2.839 3.265 -0.973
Na 4.036 0.964 1.567
Sn -3.088 -1.848 2.809
Dy -5.927 1.417 1.835
Na 0.000 0.000 0.000
Te 2.078 0.793 6.720
Te -4.807 3.095 4.195
Te -1.964 -0.173 5.151
Na 1.197 4.229 0.594
Te 1.024 1.668 2.609
Dy 0.948 -0.884 4.376
Te -1.818 4.936 1.654
Dy -1.891 2.382 3.402
Te -5.861 3.970 0.085
```

Values from the calculation:
Calculated total energy = -4.11 eV per atom
M_tot = 0.00 μB per atom
Symmetry = R-3m, No. 166
Formation energy without anion corrections = -1.100 eV/atom
Density of states at the Fermi level = 0.1466 states/eV/atom



7.
Computed, not measured: NaDyTlSn after structural relaxation at the GGA-PBE level of DFT.

The structure in extended XYZ format:
```
4
Lattice="5.335 0.000 0.000 2.668 4.621 0.000 2.668 1.540 4.356" Properties=species:S:1:pos:R:3 pbc="T T T"
Dy 0.000 0.000 0.000
Tl 8.003 4.621 3.267
Sn 2.668 1.540 1.089
Na 5.335 3.080 2.178
```

Values from the calculation:
Calculated total energy = -3.37 eV per atom
ΔH_f (0 K) = -1.2 eV/f.u.
M_tot = 0.00 μB per atom
Symmetry = F-43m, No. 216
Density of states at the Fermi level = 0.6048 states/eV/atom



8.
Computed, not measured: NaDyZnSn after structural relaxation at the GGA-PBE level of DFT.

The structure in extended XYZ format:
```
4
Lattice="5.158 0.000 0.000 2.579 4.467 0.000 2.579 1.489 4.212" Properties=species:S:1:pos:R:3 pbc="T T T"
Na 5.158 2.978 2.106
Sn 2.579 1.489 1.053
Dy 0.000 0.000 0.000
Zn 7.737 4.467 3.159
```

Values from the calculation:
Calculated total energy = -3.10 eV per atom
ΔH_f (0 K) = -1.2 eV/f.u.
M_tot = 0.00 μB per atom
Symmetry = F-43m, No. 216
Density of states at the Fermi level = 0.3066 states/eV/atom



9.
Computed, not measured: NaSrDy after structural relaxation at the GGA-PBE level of DFT.

The structure in extended XYZ format:
```
6
Lattice="0.509 3.030 -2.725 -4.075 0.418 -0.288 0.222 9.407 10.500" Properties=species:S:1:pos:R:3 pbc="T T T"
Sr -0.249 9.014 9.194
Na -0.323 5.913 5.730
Sr -2.146 5.881 2.266
Dy -2.214 3.008 -0.940
Na -2.074 8.983 5.726
Dy -0.403 2.480 1.900
```

Values from the calculation:
Calculated total energy = -2.45 eV per atom
ΔH_f (0 K) = 0.3 eV/f.u.
M_tot = 0.00 μB per atom
Symmetry = Cmme, No. 67
Density of states at the Fermi level = 0.7487 states/eV/atom



10.
Computed, not measured: Na2SrDy after structural relaxation at the GGA-PBE level of DFT.

The structure in extended XYZ format:
```
4
Lattice="3.679 0.000 0.000 1.839 3.186 0.000 1.839 1.062 13.712" Properties=species:S:1:pos:R:3 pbc="T T T"
Sr 3.679 2.124 6.856
Na 1.839 1.062 10.247
Na 5.518 3.186 3.465
Dy 0.000 0.000 0.000
```

Values from the calculation:
Calculated total energy = -1.88 eV per atom
ΔH_f (0 K) = 1.4 eV/f.u.
M_tot = 0.01 μB per atom
Symmetry = R-3m, No. 166
Density of states at the Fermi level = 1.3657 states/eV/atom



11.
Computed, not measured: NaSr2DyTe4 after structural relaxation at the GGA-PBE level of DFT.

The structure in extended XYZ format:
```
8
Lattice="4.605 0.000 0.000 0.000 8.003 0.217 0.000 -2.743 7.425" Properties=species:S:1:pos:R:3 pbc="T T T"
Dy 0.000 0.000 0.000
Te 0.000 5.410 1.914
Te 0.000 -0.150 5.728
Sr 0.000 2.630 3.821
Te 2.303 3.995 5.890
Sr 2.303 -1.371 3.713
Na 2.303 4.002 0.109
Te 2.303 1.265 1.753
```

Values from the calculation:
Calculated total energy = -4.22 eV per atom
M_tot = 0.00 μB per atom
Symmetry = P2/m, No. 10
Formation energy without anion corrections = -1.486 eV/atom



12.
Computed, not measured: NaSr4Dy3Te8 after structural relaxation at the GGA-PBE level of DFT.

The structure in extended XYZ format:
```
16
Lattice="9.092 0.000 0.000 0.000 9.143 0.030 -4.546 -4.542 6.432" Properties=species:S:1:pos:R:3 pbc="T T T"
Dy -2.273 2.301 3.231
Te 0.000 0.136 3.309
Sr 4.546 0.000 0.000
Te 2.308 2.391 0.107
Sr 0.000 0.000 0.000
Te 2.238 2.210 6.355
Te 4.546 0.155 3.273
Na 0.000 4.571 0.015
Te 4.546 4.465 3.153
Te 6.784 2.391 0.107
Te -2.238 2.210 6.355
Dy 4.546 4.571 0.015
Sr 2.273 -2.271 3.216
Te 0.000 4.446 3.190
Dy 2.273 2.301 3.231
Sr -2.273 -2.271 3.216
```

Values from the calculation:
Calculated total energy = -4.44 eV per atom
M_tot = 0.00 μB per atom
Symmetry = R-3m, No. 166
Formation energy without anion corrections = -1.500 eV/atom
Density of states at the Fermi level = 0.2686 states/eV/atom



> Which value of M_tot does entry 7 give?

0.00 μB per atom



> The lowest calculated total energy belongs to which entry?

NaSr4Dy3Te8